Record 1
Here is an optimized crystal structure of Zn7Ag2Au3 from the Alexandria database. Energies are from PBE.

## Properties
* VASP energy: -2.108 eV per atom
* crystal system: monoclinic
* DOS at the Fermi energy: 2.61 states/eV/f.u.
* calculated formation energy: -0.848 eV/f.u.
* spin magnetization: 0.00 μB per cell

Cell and atoms, written as extended XYZ:
```
12
Lattice="-2.813 0.219 0.340 0.199 -2.769 3.430 2.077 13.660 8.374" Properties=species:S:1:pos:R:3 pbc="T T T"
Ag 0.133 8.857 7.261
Ag -0.669 2.252 4.884
Zn 0.000 0.000 0.000
Zn -0.993 2.337 2.152
Au 0.857 4.803 3.992
Au -1.307 -1.275 1.885
Zn 0.423 0.319 3.294
Au 1.419 6.087 7.812
Zn 0.457 8.773 9.992
Zn -0.318 4.289 6.475
Zn 1.853 10.572 8.511
Zn -0.218 6.821 5.670
```

Record 2
Here is an optimized crystal structure of Dy2Hf3ZrN6 from the Alexandria database. Energies are from PBE.

## Properties
* VASP energy: -9.891 eV per atom
* crystal system: monoclinic
* DOS at the Fermi energy: 4.07 states/eV/f.u.
* spin magnetization: 0.00 μB per cell
* formation energy without anion corrections: -1.76 eV/atom

Cell and atoms, written as extended XYZ:
```
12
Lattice="5.683 0.000 -0.002 -2.840 4.922 -0.002 -0.950 -1.646 5.428" Properties=species:S:1:pos:R:3 pbc="T T T"
N 1.905 3.298 1.484
N 2.828 1.660 3.958
N -0.013 -0.022 3.939
Hf 0.946 1.638 2.712
Dy 2.841 1.641 -0.002
Zr 0.000 0.000 0.000
N 1.868 -0.002 1.466
N -0.935 1.617 1.466
Dy 0.002 3.281 -0.002
Hf 3.786 -0.002 2.712
Hf -1.893 3.278 2.712
N 0.024 3.279 3.958
```

Record 3
Here is an optimized crystal structure of SiP2Se from the Alexandria database. Energies are from PBE.

## Properties
* VASP energy: -4.754 eV per atom
* crystal system: trigonal
* DOS at the Fermi energy: 2.19 states/eV/f.u.
* excess energy over the best structure of this formula in the dataset: 22.2 kJ/mol of atoms
* spin magnetization: 0.00 μB per cell
* formation energy without anion corrections: 0.18 eV/atom

Cell and atoms, written as extended XYZ:
```
4
Lattice="-0.209 -1.980 6.095 3.183 -0.985 5.478 0.689 1.493 6.197" Properties=species:S:1:pos:R:3 pbc="T T T"
P 1.787 -0.718 8.669
P 0.045 -0.018 0.216
Se 0.916 -0.368 4.443
Si 2.747 -1.103 13.328
```

Record 4
Here is an optimized crystal structure of AcPr2Tl3S6 from the Alexandria database. Energies are from PBE.

## Properties
* VASP energy: -5.255 eV per atom
* crystal system: monoclinic
* DOS at the Fermi energy: 0.00 states/eV/f.u.
* spin magnetization: 0.00 μB per cell
* formation energy without anion corrections: -1.46 eV/atom

Cell and atoms, written as extended XYZ:
```
12
Lattice="7.431 0.001 0.001 -3.712 6.437 0.001 -1.239 -2.145 7.469" Properties=species:S:1:pos:R:3 pbc="T T T"
S -1.274 2.208 1.554
Tl 1.240 2.146 3.736
S -0.070 4.293 5.918
Tl -2.468 4.287 3.736
S 3.753 2.084 5.918
Tl 4.947 0.005 3.736
Pr 3.714 2.148 0.001
Pr 0.004 4.290 0.001
S 0.036 0.063 5.932
S 2.550 0.000 1.554
S 2.443 4.230 1.540
Ac 0.000 0.000 0.000
```

Record 5
Here is an optimized crystal structure of PmSi2W from the Alexandria database. Energies are from PBE.

## Properties
* VASP energy: -7.345 eV per atom
* crystal system: tetragonal
* DOS at the Fermi energy: 2.59 states/eV/f.u.
* excess energy over the best structure of this formula in the dataset: 0.0 kJ/mol of atoms
* spin magnetization: 0.00 μB per cell
* formation energy without anion corrections: -0.21 eV/atom

Cell and atoms, written as extended XYZ:
```
4
Lattice="-1.952 0.727 2.504 2.362 -0.832 2.083 2.309 6.405 -0.059" Properties=species:S:1:pos:R:3 pbc="T T T"
W 1.359 3.150 2.264
Si 1.588 4.404 -0.041
Pm 0.205 -0.053 2.294
Si 0.721 2.000 -0.018
```

Record 6
Here is an optimized crystal structure of Ac3CdRhCl from the Alexandria database. Energies are from PBE.

## Properties
* VASP energy: -4.524 eV per atom
* crystal system: monoclinic
* DOS at the Fermi energy: 4.01 states/eV/f.u.
* spin magnetization: 0.00 μB per cell
* formation energy without anion corrections: -0.78 eV/atom

Cell and atoms, written as extended XYZ:
```
12
Lattice="-2.811 -0.161 3.534 -3.725 -7.529 -3.306 7.311 -4.046 5.631" Properties=species:S:1:pos:R:3 pbc="T T T"
Cl -2.516 -8.676 1.936
Cd 0.420 -2.539 1.663
Ac -2.629 -4.061 2.057
Ac -0.017 -7.181 1.104
Ac 0.792 -4.555 4.755
Cl 3.291 -3.061 3.923
Ac 5.279 -4.557 5.436
Rh -2.111 -5.594 -0.490
Ac 3.404 -7.676 3.802
Ac -4.504 -7.180 0.423
Cd 0.355 -9.197 4.196
Rh 2.886 -6.142 6.349
```

Q: Which formula does entry 6 have?
A: Ac3CdRhCl

Q: Which of these has the lowest DOS at the Fermi energy?
A: AcPr2Tl3S6

Copy entry 4 word for word.
Here is an optimized crystal structure of AcPr2Tl3S6 from the Alexandria database. Energies are from PBE.

## Properties
* VASP energy: -5.255 eV per atom
* crystal system: monoclinic
* DOS at the Fermi energy: 0.00 states/eV/f.u.
* spin magnetization: 0.00 μB per cell
* formation energy without anion corrections: -1.46 eV/atom

Cell and atoms, written as extended XYZ:
```
12
Lattice="7.431 0.001 0.001 -3.712 6.437 0.001 -1.239 -2.145 7.469" Properties=species:S:1:pos:R:3 pbc="T T T"
S -1.274 2.208 1.554
Tl 1.240 2.146 3.736
S -0.070 4.293 5.918
Tl -2.468 4.287 3.736
S 3.753 2.084 5.918
Tl 4.947 0.005 3.736
Pr 3.714 2.148 0.001
Pr 0.004 4.290 0.001
S 0.036 0.063 5.932
S 2.550 0.000 1.554
S 2.443 4.230 1.540
Ac 0.000 0.000 0.000
```